# 1
Computed, not measured: a geometry-optimized Zr2ReTcH structure at the PBE level of DFT.

abc: 4.680 4.680 3.420
angles: 90.00 90.00 90.00
Fractional positions:
Zr1 0.000 0.500 0.000
Zr2 0.500 0.000 0.000
Re1 0.000 0.000 0.500
Tc1 0.500 0.500 0.500
H1 0.500 0.500 0.000

Computed properties:
Total DFT energy (no corrections)   -8.9102 eV per atom
Space-group type   P4/mmm

# 2
Computed, not measured: a geometry-optimized CuOs3N structure at the PBE level of DFT.

abc: 4.438 4.438 4.438
angles: 90.00 90.00 90.00
Fractional positions:
Cu1 0.000 0.000 0.000
Os1 0.000 0.000 0.500
Os2 0.000 0.500 0.000
Os3 0.500 0.000 0.000
N1 0.500 0.500 0.500

Computed properties:
Space-group type   Pm-3m
Energy relative to the elements, uncorrected   3.464 eV/atom

# 3
Computed, not measured: a geometry-optimized PmDy2Er3Tm6 structure at the PBE level of DFT.

abc: 6.085 6.085 11.630
angles: 95.00 95.00 119.93
Fractional positions:
Pm1 0.000 0.000 0.000
Dy1 0.333 0.667 0.000
Dy2 0.667 0.333 0.000
Er1 0.167 0.833 0.500
Er2 0.500 0.500 0.500
Er3 0.833 0.167 0.500
Tm1 0.085 0.418 0.252
Tm2 0.249 0.249 0.748
Tm3 0.418 0.085 0.252
Tm4 0.582 0.915 0.748
Tm5 0.751 0.751 0.252
Tm6 0.915 0.582 0.748

Computed properties:
DFT formation energy   23.5 meV/atom
Space-group type   C2/m

# 4
Computed, not measured: a geometry-optimized CaCdO3 structure at the PBE level of DFT.

abc: 4.243 4.243 4.243
angles: 90.00 90.00 90.00
Fractional positions:
Ca1 0.000 0.000 0.000
Cd1 0.500 0.500 0.500
O1 0.000 0.000 0.500
O2 0.000 0.500 0.000
O3 0.500 0.000 0.000

Computed properties:
Space-group type   Pm-3m
Energy relative to the elements, uncorrected   -0.601 eV/atom

# 5
Computed, not measured: a geometry-optimized Na2Nb2O7 structure at the PBE level of DFT.

abc: 4.908 4.908 5.843
angles: 90.00 90.00 96.51
Fractional positions:
Na1 0.243 0.243 0.000
Na2 0.757 0.757 0.000
Nb1 0.227 0.773 0.500
Nb2 0.773 0.227 0.500
O1 0.000 0.000 0.290
O2 0.000 0.000 0.710
O3 0.000 0.500 0.280
O4 0.000 0.500 0.720
O5 0.500 0.000 0.280
O6 0.500 0.000 0.720
O7 0.500 0.500 0.500

Computed properties:
Space-group type   Cmmm
Energy relative to the elements, uncorrected   -1.929 eV/atom

# 6
Computed, not measured: a geometry-optimized Ta2SiSn structure at the PBE level of DFT.

abc: 6.577 6.577 6.577
angles: 90.00 90.00 90.00
Fractional positions:
Ta1 0.250 0.250 0.250
Ta2 0.250 0.250 0.750
Ta3 0.250 0.750 0.250
Ta4 0.250 0.750 0.750
Ta5 0.750 0.250 0.250
Ta6 0.750 0.250 0.750
Ta7 0.750 0.750 0.250
Ta8 0.750 0.750 0.750
Si1 0.000 0.000 0.000
Si2 0.000 0.500 0.500
Si3 0.500 0.000 0.500
Si4 0.500 0.500 0.000
Sn1 0.000 0.000 0.500
Sn2 0.000 0.500 0.000
Sn3 0.500 0.000 0.000
Sn4 0.500 0.500 0.500

Computed properties:
Space-group type   Fm-3m
Energy relative to the elements, uncorrected   0.227 eV/atom